Entry 1:
Below is crystalline Sm12OsPd6 at its relaxed geometry, with properties calculated at the PBE-GGA level.

The structure in POSCAR format:
```
Sm12OsPd6
1.0
6.326 3.652 4.084
-6.326 3.652 4.084
0.000 -7.305 4.084
Sm Os Pd
12 1 6
direct
0.039 0.680 0.923
0.077 0.961 0.320
0.182 0.417 0.579
0.320 0.077 0.961
0.417 0.579 0.182
0.421 0.818 0.583
0.579 0.182 0.417
0.583 0.421 0.818
0.680 0.923 0.039
0.818 0.583 0.421
0.923 0.039 0.680
0.961 0.320 0.077
0.000 0.000 0.000
0.131 0.620 0.314
0.314 0.131 0.620
0.380 0.686 0.869
0.620 0.314 0.131
0.686 0.869 0.380
0.869 0.380 0.686
```

DFT formation energy	-0.442	eV per atom
DOS(E_F)	20.08	states/eV/f.u.
raw total energy	-107.4	eV for the cell shown
space group	R-3

***

Entry 2:
Below is crystalline Ac6As2Se3Br at its relaxed geometry, with properties calculated at the PBE-GGA level.

The structure in POSCAR format:
```
Ac6As2Se3Br
1.0
9.798 -2.251 0.000
9.798 2.251 0.000
-2.055 0.000 8.774
Ac As Se Br
6 2 3 1
direct
0.002 0.002 0.266
0.327 0.327 0.908
0.330 0.330 0.421
0.670 0.670 0.579
0.673 0.673 0.092
0.998 0.998 0.734
0.165 0.165 0.330
0.835 0.835 0.670
0.164 0.164 0.834
0.500 0.500 0.500
0.836 0.836 0.166
0.500 0.500 0.000
```

formation energy (no corrections)	-1.6579	eV/atom
DOS(E_F)	5.50	states/eV/f.u.
raw total energy	-66.0	eV for the cell shown
space group	C2/m

***

Entry 3:
Below is crystalline La2Nd4O at its relaxed geometry, with properties calculated at the PBE-GGA level.

The structure in POSCAR format:
```
La2Nd4O
1.0
4.989 0.000 0.000
0.000 4.989 0.000
0.000 0.000 18.152
La Nd O
4 8 2
direct
0.000 0.000 0.166
0.000 0.000 0.834
0.500 0.500 0.334
0.500 0.500 0.666
0.000 0.000 0.365
0.000 0.000 0.635
0.000 0.500 0.000
0.000 0.500 0.500
0.500 0.000 0.000
0.500 0.000 0.500
0.500 0.500 0.135
0.500 0.500 0.865
0.000 0.000 0.500
0.500 0.500 0.000
```

formation energy (no corrections)	-0.6354	eV/atom
DOS(E_F)	8.71	states/eV/f.u.
raw total energy	-76.7	eV for the cell shown
space group	I4/mmm

***

Entry 4:
Below is crystalline ScSiP2O at its relaxed geometry, with properties calculated at the PBE-GGA level.

The structure in POSCAR format:
```
ScSiP2O
1.0
4.862 0.000 0.000
0.000 4.862 0.000
0.000 0.000 3.280
Sc Si P O
1 1 2 1
direct
0.000 0.000 0.000
0.500 0.500 0.500
0.000 0.500 0.500
0.500 0.000 0.500
0.500 0.500 0.000
```

formation energy (no corrections)	-0.6961	eV/atom
DOS(E_F)	2.15	states/eV/f.u.
raw total energy	-31.0	eV for the cell shown
space group	P4/mmm

***

Entry 5:
Below is crystalline CdIn4Sn2 at its relaxed geometry, with properties calculated at the PBE-GGA level.

The structure in POSCAR format:
```
CdIn4Sn2
1.0
1.737 1.003 18.032
-1.737 1.003 18.032
0.000 -2.006 18.032
Cd In Sn
1 4 2
direct
0.000 0.000 0.000
0.142 0.142 0.142
0.288 0.288 0.288
0.712 0.712 0.712
0.858 0.858 0.858
0.427 0.427 0.427
0.573 0.573 0.573
```

DFT formation energy	0.032	eV per atom
DOS(E_F)	3.66	states/eV/f.u.
raw total energy	-19.6	eV for the cell shown
space group	R-3m

***

Entry 6:
Below is crystalline ZnCrGaPd at its relaxed geometry, with properties calculated at the PBE-GGA level.

The structure in POSCAR format:
```
ZnCrGaPd
1.0
6.143 0.000 0.000
0.000 6.143 0.000
0.000 0.000 6.143
Zn Cr Ga Pd
4 4 4 4
direct
0.000 0.000 0.000
0.000 0.500 0.500
0.500 0.000 0.500
0.500 0.500 0.000
0.250 0.250 0.750
0.250 0.750 0.250
0.750 0.250 0.250
0.750 0.750 0.750
0.000 0.000 0.500
0.000 0.500 0.000
0.500 0.000 0.000
0.500 0.500 0.500
0.250 0.250 0.250
0.250 0.750 0.750
0.750 0.250 0.750
0.750 0.750 0.250
```

DFT formation energy	-0.222	eV per atom
DOS(E_F)	2.34	states/eV/f.u.
raw total energy	-80.0	eV for the cell shown
space group	F-43m

***

Entry 7:
Below is crystalline ScIn2HN at its relaxed geometry, with properties calculated at the PBE-GGA level.

The structure in POSCAR format:
```
ScIn2HN
1.0
5.290 0.000 0.000
0.000 5.290 0.000
0.000 0.000 2.910
Sc In H N
1 2 1 1
direct
0.000 0.000 0.000
0.000 0.500 0.500
0.500 0.000 0.500
0.500 0.500 0.000
0.500 0.500 0.500
```

DOS(E_F)	3.83	states/eV/f.u.
raw total energy	-21.4	eV for the cell shown
space group	P4/mmm

***

Entry 8:
Below is crystalline Ac2DyZn3In4 at its relaxed geometry, with properties calculated at the PBE-GGA level.

The structure in POSCAR format:
```
Ac2DyZn3In4
1.0
4.653 0.000 0.000
0.000 4.653 0.000
0.000 0.000 12.333
Ac Dy Zn In
2 1 3 4
direct
0.000 0.500 0.232
0.500 0.000 0.768
0.000 0.000 0.500
0.000 0.500 0.871
0.500 0.000 0.129
0.500 0.500 0.500
0.000 0.000 0.000
0.000 0.500 0.655
0.500 0.000 0.345
0.500 0.500 0.000
```

DFT formation energy	-0.340	eV per atom
DOS(E_F)	6.50	states/eV/f.u.
raw total energy	-31.0	eV for the cell shown
space group	P-4m2

***

Entry 9:
Below is crystalline KAcBi4 at its relaxed geometry, with properties calculated at the PBE-GGA level.

The structure in POSCAR format:
```
KAcBi4
1.0
0.000 4.758 4.758
4.758 0.000 4.758
4.758 4.758 0.000
K Ac Bi
1 1 4
direct
0.000 0.000 0.000
0.750 0.750 0.750
0.375 0.375 0.375
0.375 0.375 0.875
0.375 0.875 0.375
0.875 0.375 0.375
```

DFT formation energy	-0.319	eV per atom
DOS(E_F)	3.63	states/eV/f.u.
raw total energy	-22.6	eV for the cell shown
space group	F-43m

***

Entry 10:
Below is crystalline Tm2InCo at its relaxed geometry, with properties calculated at the PBE-GGA level.

The structure in POSCAR format:
```
Tm2InCo
1.0
3.611 0.000 0.000
-1.806 3.127 0.000
0.000 0.000 25.373
Tm In Co
6 3 3
direct
0.000 0.000 0.231
0.000 0.000 0.769
0.333 0.667 0.436
0.333 0.667 0.897
0.667 0.333 0.103
0.667 0.333 0.564
0.000 0.000 0.000
0.333 0.667 0.667
0.667 0.333 0.333
0.000 0.000 0.500
0.333 0.667 0.167
0.667 0.333 0.833
```

DFT formation energy	-0.191	eV per atom
DOS(E_F)	2.34	states/eV/f.u.
raw total energy	-58.7	eV for the cell shown
space group	R-3m

***

Entry 11:
Below is crystalline ThAlZnAg at its relaxed geometry, with properties calculated at the PBE-GGA level.

The structure in POSCAR format:
```
ThAlZnAg
1.0
6.969 0.000 0.000
0.000 6.969 0.000
0.000 0.000 6.969
Th Al Zn Ag
4 4 4 4
direct
0.000 0.000 0.000
0.000 0.500 0.500
0.500 0.000 0.500
0.500 0.500 0.000
0.000 0.000 0.500
0.000 0.500 0.000
0.500 0.000 0.000
0.500 0.500 0.500
0.250 0.250 0.750
0.250 0.750 0.250
0.750 0.250 0.250
0.750 0.750 0.750
0.250 0.250 0.250
0.250 0.750 0.750
0.750 0.250 0.750
0.750 0.750 0.250
```

DFT formation energy	-0.178	eV per atom
DOS(E_F)	1.84	states/eV/f.u.
raw total energy	-64.0	eV for the cell shown
space group	F-43m

***

Entry 12:
Below is crystalline Ce2DyTc at its relaxed geometry, with properties calculated at the PBE-GGA level.

The structure in POSCAR format:
```
Ce2DyTc
1.0
3.860 0.000 0.000
-1.930 3.343 0.000
0.000 0.000 26.095
Ce Dy Tc
6 3 3
direct
0.000 0.000 0.000
0.000 0.000 0.212
0.333 0.667 0.667
0.333 0.667 0.879
0.667 0.333 0.333
0.667 0.333 0.546
0.000 0.000 0.440
0.333 0.667 0.107
0.667 0.333 0.774
0.000 0.000 0.604
0.333 0.667 0.271
0.667 0.333 0.937
```

DFT formation energy	0.146	eV per atom
DOS(E_F)	8.32	states/eV/f.u.
raw total energy	-78.8	eV for the cell shown
space group	R3m

***

What did the third record say?
Below is crystalline La2Nd4O at its relaxed geometry, with properties calculated at the PBE-GGA level.

The structure in POSCAR format:
```
La2Nd4O
1.0
4.989 0.000 0.000
0.000 4.989 0.000
0.000 0.000 18.152
La Nd O
4 8 2
direct
0.000 0.000 0.166
0.000 0.000 0.834
0.500 0.500 0.334
0.500 0.500 0.666
0.000 0.000 0.365
0.000 0.000 0.635
0.000 0.500 0.000
0.000 0.500 0.500
0.500 0.000 0.000
0.500 0.000 0.500
0.500 0.500 0.135
0.500 0.500 0.865
0.000 0.000 0.500
0.500 0.500 0.000
```

formation energy (no corrections)	-0.6354	eV/atom
DOS(E_F)	8.71	states/eV/f.u.
raw total energy	-76.7	eV for the cell shown
space group	I4/mmm